Computed, not measured: TbHfTh after structural relaxation at the PBE level of DFT.

abc: 3.420 5.396 5.396
angles: 120.00 90.00 90.00
Element x y z (fractional)
Th  0.667  0.667  0.333
Hf  0.167  0.333  0.667
Tb  0.166  0.000  0.000

Results
- calculated volume (Å³/cell) = 86
- ΔE_f (eV per atom) = 0.17
- final energy (eV/cell) = -21.48
- space-group type = P-6m2
- crystal system = hexagonal


Computed, not measured: TbHfThZr after structural relaxation at the PBE level of DFT.

abc: 5.325 5.325 5.325
angles: 60.00 60.00 60.00
Element x y z (fractional)
Th  0.000  0.000  0.000
Zr  0.250  0.250  0.250
Hf  0.750  0.750  0.750
Tb  0.500  0.500  0.500

Results
- calculated volume (Å³/cell) = 107
- ΔE_f (eV per atom) = 0.21
- final energy (eV/cell) = -29.71
- space-group type = F-43m
- crystal system = cubic


Computed, not measured: TbHfTi2 after structural relaxation at the PBE level of DFT.

abc: 3.607 3.607 6.757
angles: 90.00 90.00 90.00
Element x y z (fractional)
Hf  0.500  0.500  0.000
Ti  0.000  0.000  0.203
Ti  0.000  0.000  0.797
Tb  0.500  0.500  0.500

Results
- calculated volume (Å³/cell) = 88
- ΔE_f (eV per atom) = 0.16
- final energy (eV/cell) = -29.75
- space-group type = P4/mmm
- crystal system = tetragonal


Computed, not measured: TbHf2Tl after structural relaxation at the PBE level of DFT.

abc: 3.175 3.175 11.725
angles: 82.22 82.22 60.00
Element x y z (fractional)
Hf  0.908  0.908  0.275
Hf  0.092  0.092  0.725
Tl  0.500  0.500  0.500
Tb  0.000  0.000  0.000

Results
- calculated volume (Å³/cell) = 101
- ΔE_f (eV per atom) = 0.40
- final energy (eV/cell) = -25.31
- space-group type = R-3m
- crystal system = trigonal


Computed, not measured: TbTm2Hf after structural relaxation at the PBE level of DFT.

abc: 3.312 3.312 12.071
angles: 82.12 82.12 60.00
Element x y z (fractional)
Hf  0.000  0.000  0.000
Tm  0.913  0.913  0.260
Tm  0.087  0.087  0.740
Tb  0.500  0.500  0.500

Results
- calculated volume (Å³/cell) = 113
- ΔE_f (eV per atom) = 0.36
- final energy (eV/cell) = -22.11
- space-group type = R-3m
- crystal system = trigonal


Computed, not measured: TbTmHf2 after structural relaxation at the PBE level of DFT.

abc: 3.299 3.299 11.070
angles: 81.43 81.43 60.00
Element x y z (fractional)
Tm  0.500  0.500  0.500
Tb  0.000  0.000  0.000
Hf  0.249  0.249  0.252
Hf  0.751  0.751  0.748

Results
- calculated volume (Å³/cell) = 103
- ΔE_f (eV per atom) = 0.18
- final energy (eV/cell) = -28.28
- space-group type = R-3m
- crystal system = trigonal


Computed, not measured: TbTm14Hf after structural relaxation at the PBE level of DFT.

abc: 6.936 6.936 9.764
angles: 90.00 90.00 90.00
Element x y z (fractional)
Hf  0.875  0.125  0.000
Tm  0.120  0.880  0.755
Tm  0.375  0.125  0.000
Tm  0.630  0.880  0.755
Tm  0.375  0.625  0.500
Tm  0.875  0.625  0.000
Tm  0.120  0.880  0.245
Tm  0.120  0.370  0.755
Tm  0.630  0.370  0.755
Tm  0.630  0.880  0.245
Tm  0.120  0.370  0.245
Tm  0.375  0.125  0.500
Tm  0.630  0.370  0.245
Tm  0.875  0.125  0.500
Tm  0.875  0.625  0.500
Tb  0.375  0.625  0.000

Results
- calculated volume (Å³/cell) = 470
- ΔE_f (eV per atom) = 0.05
- final energy (eV/cell) = -76.40
- space-group type = P4/mmm
- crystal system = tetragonal


Computed, not measured: Tb7Tm12Hf after structural relaxation at the PBE level of DFT.

abc: 8.548 8.548 8.548
angles: 94.74 94.74 94.74
Element x y z (fractional)
Tb  0.652  0.981  0.917
Tb  0.917  0.652  0.981
Tb  0.500  0.500  0.500
Tb  0.981  0.917  0.652
Tb  0.348  0.019  0.083
Tb  0.083  0.348  0.019
Tb  0.019  0.083  0.348
Tm  0.750  0.315  0.185
Tm  0.315  0.185  0.750
Tm  0.685  0.815  0.250
Tm  0.515  0.852  0.584
Tm  0.416  0.485  0.148
Tm  0.485  0.148  0.416
Tm  0.815  0.250  0.685
Tm  0.148  0.416  0.485
Tm  0.185  0.750  0.315
Tm  0.852  0.584  0.515
Tm  0.250  0.685  0.815
Tm  0.584  0.515  0.852
Hf  0.000  0.000  0.000

Results
- calculated volume (Å³/cell) = 618
- ΔE_f (eV per atom) = 0.31
- final energy (eV/cell) = -89.81
- space-group type = R-3
- crystal system = trigonal


Computed, not measured: TbTm2Hf after structural relaxation at the PBE level of DFT.

abc: 3.932 3.932 7.357
angles: 90.00 90.00 90.00
Element x y z (fractional)
Tm  0.000  0.000  0.780
Tm  0.000  0.000  0.220
Tb  0.500  0.500  0.500
Hf  0.500  0.500  0.000

Results
- calculated volume (Å³/cell) = 114
- ΔE_f (eV per atom) = 0.21
- final energy (eV/cell) = -22.67
- space-group type = P4/mmm
- crystal system = tetragonal


Computed, not measured: Tb12Tm7Hf after structural relaxation at the PBE level of DFT.

abc: 8.609 8.609 8.609
angles: 94.26 94.26 94.26
Element x y z (fractional)
Tb  0.855  0.592  0.526
Tb  0.189  0.752  0.320
Tb  0.408  0.474  0.145
Tb  0.474  0.145  0.408
Tb  0.592  0.526  0.855
Tb  0.248  0.680  0.811
Tb  0.680  0.811  0.248
Tb  0.320  0.189  0.752
Tb  0.145  0.408  0.474
Tb  0.811  0.248  0.680
Tb  0.752  0.320  0.189
Tb  0.526  0.855  0.592
Tm  0.924  0.660  0.988
Tm  0.660  0.988  0.924
Tm  0.340  0.012  0.076
Tm  0.988  0.924  0.660
Tm  0.076  0.340  0.012
Tm  0.500  0.500  0.500
Tm  0.012  0.076  0.340
Hf  0.000  0.000  0.000

Results
- calculated volume (Å³/cell) = 633
- ΔE_f (eV per atom) = 0.30
- final energy (eV/cell) = -90.80
- space-group type = R-3
- crystal system = trigonal


Computed, not measured: TbTmHf2 after structural relaxation at the PBE level of DFT.

abc: 4.766 4.647 4.647
angles: 90.00 90.00 90.00
Element x y z (fractional)
Tm  0.500  0.500  0.500
Tb  0.500  0.000  0.000
Hf  0.000  0.500  0.000
Hf  0.000  0.000  0.500

Results
- calculated volume (Å³/cell) = 103
- ΔE_f (eV per atom) = 0.18
- final energy (eV/cell) = -28.28
- space-group type = P4/mmm
- crystal system = tetragonal


Computed, not measured: TbTm2Hf after structural relaxation at the PBE level of DFT.

abc: 3.418 3.418 11.253
angles: 81.27 81.27 60.00
Element x y z (fractional)
Hf  0.666  0.666  0.001
Tb  0.500  0.500  0.499
Tm  0.255  0.255  0.234
Tm  0.078  0.078  0.766

Results
- calculated volume (Å³/cell) = 112
- ΔE_f (eV per atom) = 0.09
- final energy (eV/cell) = -23.15
- space-group type = R3m
- crystal system = trigonal